This record from Alexandria via LeMat-Bulk describes LiCdPb after structural relaxation. The functional is PBE.

The structure in POSCAR format:
```
LiCdPb
1.0
-0.303 3.433 4.316
-4.232 3.526 0.392
1.378 -5.326 -0.480
Pb Li Cd
1 1 1
direct
0.668 0.668 0.000
0.338 0.338 0.000
0.994 0.994 0.000
```

Final energy, hartree per atom: -0.08503
Polymorph energy (0 for the lowest one), meV/atom: 30
DFT formation energy, meV per atom: -135
Volume, Å³ per atom: 23.69
Symmetry: Imm2, No. 44